The following is a PBE-GGA calculation of a geometry-optimized Sr2LaSb structure, from the Alexandria database.

Output
Density of states at the Fermi level: 23.14 states/eV/cell
Space group: No. 216

```
Sr2LaSb
1.0
8.290 0.000 0.000
0.000 8.290 0.000
0.000 0.000 8.290
Sr La Sb
8 4 4
direct
0.000 0.000 0.000
0.000 0.500 0.500
0.250 0.250 0.250
0.250 0.750 0.750
0.500 0.000 0.500
0.500 0.500 0.000
0.750 0.250 0.750
0.750 0.750 0.250
0.000 0.000 0.500
0.000 0.500 0.000
0.500 0.000 0.000
0.500 0.500 0.500
0.250 0.250 0.750
0.250 0.750 0.250
0.750 0.250 0.250
0.750 0.750 0.750
```

The following is a PBE-GGA calculation of a geometry-optimized Tb2CeEr8 structure, from the Alexandria database.

Output
DFT formation energy: 0.04 eV per atom
Density of states at the Fermi level: 17.34 states/eV/cell
Space group: No. 12

```
Tb2CeEr8
1.0
8.975 -2.489 0.000
8.975 2.489 0.000
-2.069 0.000 7.591
Tb Ce Er
2 1 8
direct
0.229 0.229 0.137
0.771 0.771 0.863
0.500 0.500 0.500
0.045 0.045 0.230
0.136 0.136 0.680
0.320 0.320 0.593
0.410 0.410 0.046
0.590 0.590 0.954
0.680 0.680 0.407
0.864 0.864 0.320
0.955 0.955 0.770
```

The following is a PBE-GGA calculation of a geometry-optimized DyY4Th5 structure, from the Alexandria database.

Output
DFT formation energy: 0.14 eV per atom
Density of states at the Fermi level: 16.29 states/eV/cell
Space group: No. 12

```
DyY4Th5
1.0
8.834 -1.724 0.000
8.834 1.724 0.000
-3.352 0.000 10.711
Dy Y Th
1 4 5
direct
0.000 0.000 0.000
0.197 0.197 0.090
0.407 0.407 0.193
0.593 0.593 0.807
0.803 0.803 0.910
0.000 0.000 0.500
0.302 0.302 0.407
0.391 0.391 0.704
0.609 0.609 0.296
0.698 0.698 0.593
```

The following is a PBE-GGA calculation of a geometry-optimized Na2NdAuO4 structure, from the Alexandria database.

Output
Density of states at the Fermi level: 0.00 states/eV/cell
Space group: No. 82

```
Na2NdAuO4
1.0
5.953 0.000 0.000
0.000 5.953 0.000
0.000 0.000 6.529
Na Nd Au O
4 2 2 8
direct
0.000 0.000 0.000
0.000 0.500 0.250
0.500 0.000 0.750
0.500 0.500 0.500
0.000 0.000 0.500
0.500 0.500 0.000
0.000 0.500 0.750
0.500 0.000 0.250
0.194 0.780 0.743
0.220 0.194 0.257
0.280 0.306 0.757
0.306 0.720 0.243
0.694 0.280 0.243
0.720 0.694 0.757
0.780 0.806 0.257
0.806 0.220 0.743
```

The following is a PBE-GGA calculation of a geometry-optimized Be2CrRu2 structure, from the Alexandria database.

Output
DFT formation energy: -0.24 eV per atom
Density of states at the Fermi level: 8.48 states/eV/cell
Space group: No. 127

```
Be2CrRu2
1.0
6.142 0.000 0.000
0.000 6.142 0.000
0.000 0.000 2.935
Be Cr Ru
4 2 4
direct
0.122 0.378 0.000
0.378 0.878 0.000
0.622 0.122 0.000
0.878 0.622 0.000
0.000 0.000 0.000
0.500 0.500 0.000
0.174 0.674 0.500
0.326 0.174 0.500
0.674 0.826 0.500
0.826 0.326 0.500
```

The following is a PBE-GGA calculation of a geometry-optimized MgCu3Pd6 structure, from the Alexandria database.

Output
DFT formation energy: -0.24 eV per atom
Density of states at the Fermi level: 16.41 states/eV/cell
Space group: No. 11

```
MgCu3Pd6
1.0
7.396 0.000 0.000
0.000 4.426 0.000
-3.061 0.000 8.919
Mg Cu Pd
2 6 12
direct
0.065 0.250 0.383
0.935 0.750 0.617
0.254 0.250 0.988
0.344 0.750 0.823
0.467 0.250 0.585
0.533 0.750 0.415
0.656 0.250 0.177
0.746 0.750 0.012
0.050 0.750 0.916
0.149 0.750 0.220
0.168 0.250 0.691
0.248 0.750 0.526
0.372 0.250 0.285
0.450 0.750 0.112
0.550 0.250 0.888
0.628 0.750 0.715
0.752 0.250 0.474
0.832 0.750 0.309
0.851 0.250 0.780
0.950 0.250 0.084
```

The following is a PBE-GGA calculation of a geometry-optimized PmSi2Rh structure, from the Alexandria database.

Output
Density of states at the Fermi level: 1.75 states/eV/cell
Space group: No. 123

```
PmSi2Rh
1.0
4.102 0.000 0.000
0.000 4.102 0.000
0.000 0.000 4.273
Pm Si Rh
1 2 1
direct
0.000 0.000 0.000
0.000 0.500 0.500
0.500 0.000 0.500
0.500 0.500 0.000
```

The following is a PBE-GGA calculation of a geometry-optimized In6Sn structure, from the Alexandria database.

Output
DFT formation energy: 0.51 eV per atom
Density of states at the Fermi level: 10.72 states/eV/cell
Space group: No. 229

```
In6Sn
1.0
8.090 0.000 0.000
0.000 8.090 0.000
0.000 0.000 8.090
In Sn
12 2
direct
0.000 0.250 0.500
0.000 0.500 0.250
0.000 0.500 0.750
0.000 0.750 0.500
0.250 0.000 0.500
0.250 0.500 0.000
0.500 0.000 0.250
0.500 0.000 0.750
0.500 0.250 0.000
0.500 0.750 0.000
0.750 0.000 0.500
0.750 0.500 0.000
0.000 0.000 0.000
0.500 0.500 0.500
```

| no. | VASP energy (Ha/atom) |
| --- | --- |
| 1 | -0.1224 |
| 2 | -0.1713 |
| 3 | -0.2432 |
| 4 | -0.2008 |
| 5 | -0.2707 |
| 6 | -0.1743 |
| 7 | -0.2243 |
| 8 | -0.0885 |